(1)
The following is a PBE calculation of CaLa3Au7 after structural relaxation, from Alexandria via LeMat-Bulk.

Cell and atoms, written as POSCAR:
```
CaLa3Au7
1.0
-2.267 -3.390 -0.579
2.212 -0.835 10.882
-10.464 6.549 2.629
Au La Ca
14 6 2
direct
0.600 0.200 0.636
0.532 0.064 0.408
0.600 0.200 0.864
0.277 0.554 0.064
0.277 0.554 0.436
0.468 0.936 0.908
0.369 0.738 0.750
0.631 0.262 0.250
0.400 0.800 0.136
0.723 0.446 0.936
0.468 0.936 0.592
0.400 0.800 0.364
0.723 0.446 0.564
0.532 0.064 0.092
0.214 0.429 0.750
0.135 0.270 0.446
0.786 0.571 0.250
0.865 0.730 0.946
0.865 0.730 0.554
0.135 0.270 0.054
0.987 0.975 0.250
0.013 0.025 0.750
```

Output
The calculation puts the energy relative to the elements at -0.73 eV per atom. For the magnetic moment, the calculation gives 0.00 μB per cell.

=====

(2)
The following is a PBE calculation of HgAsPtO6 after structural relaxation, from Alexandria via LeMat-Bulk.

Cell and atoms, written as POSCAR:
```
HgAsPtO6
1.0
-4.365 -2.013 1.835
2.033 -1.812 -4.365
5.249 -6.642 5.202
O Hg Pt As
12 2 2 2
direct
0.616 0.634 0.643
0.983 0.366 0.143
0.384 0.017 0.143
0.983 0.616 0.357
0.017 0.384 0.643
0.634 0.017 0.357
0.366 0.384 0.857
0.017 0.634 0.857
0.366 0.983 0.643
0.634 0.616 0.143
0.616 0.983 0.857
0.384 0.366 0.357
0.000 0.000 0.000
0.000 0.000 0.500
0.667 0.333 0.750
0.333 0.667 0.250
0.667 0.333 0.250
0.333 0.667 0.750
```

Output
For the magnetic moment, the calculation gives 0.00 μB per cell. As for the formation energy (no corrections): -0.67 eV/atom.

=====

(3)
The following is a PBE calculation of Na2PdI5 after structural relaxation, from Alexandria via LeMat-Bulk.

Cell and atoms, written as POSCAR:
```
Na2PdI5
1.0
6.108 0.000 0.000
-3.054 7.401 0.000
0.000 0.000 13.822
Na I Pd
4 10 2
direct
0.825 0.651 0.426
0.175 0.349 0.574
0.825 0.651 0.074
0.175 0.349 0.926
0.947 0.893 0.885
0.053 0.107 0.385
0.313 0.627 0.111
0.315 0.630 0.750
0.687 0.373 0.889
0.053 0.107 0.115
0.313 0.627 0.389
0.947 0.893 0.615
0.685 0.370 0.250
0.687 0.373 0.611
0.817 0.633 0.750
0.183 0.367 0.250
```

Output
For the magnetic moment, the calculation gives 0.00 μB per cell. As for the formation energy (no corrections): -0.66 eV/atom.